Entry from Alexandria: a geometry-optimized Co2Tc structure (PBE). Values from VASP.

The structure in Quantum ESPRESSO input format:
```
&SYSTEM
  ibrav = 0, nat = 6, ntyp = 2
/
ATOMIC_SPECIES
Tc 98.00 Tc.upf
Co 58.93 Co.upf
CELL_PARAMETERS angstrom
4.442 -0.001 0.000
-2.211 3.852 0.000
0.000 0.000 4.106
ATOMIC_POSITIONS angstrom
Tc 0.407 0.703 1.026
Tc 1.824 3.149 3.079
Co 2.624 1.895 1.026
Co 0.338 3.219 1.026
Co 1.893 0.633 3.079
Co -0.393 1.957 3.079
```

## Properties
The calculation puts the polymorph energy (0 for the lowest one) at 0 meV/atom. The calculated total energy comes out at -49.20 eV/cell.